(1)
LiPrTa after structural relaxation. Source: OQMD via LeMat-Bulk, functional PBE.

Space group = No. 216
Calculated total energy = -4.671 eV/atom
Total magnetization = 1.4 μB per cell

Structure (POSCAR):
```
LiPrTa
1.0
4.4877 0.0141 1.7384
1.2842 -3.1841 3.3725
3.0177 -3.5843 -1.0992
Li Pr Ta
1 1 1
Cartesian
2.1974 -1.6886 1.0029
0.0000 0.0000 0.0000
6.5921 -5.0657 3.0088
```



(2)
LiTbPr after structural relaxation. Source: OQMD via LeMat-Bulk, functional PBE.

Space group = No. 216
Calculated total energy = -3.287 eV/atom
Total magnetization = 1.4 μB per cell

Structure (POSCAR):
```
LiTbPr
1.0
0.0000 3.6174 3.6174
3.6174 0.0000 3.6174
3.6174 3.6174 0.0000
Li Pr Tb
1 1 1
Cartesian
0.0000 0.0000 0.0000
5.4262 5.4262 5.4262
1.8087 1.8087 1.8087
```



(3)
LiPrTc after structural relaxation. Source: OQMD via LeMat-Bulk, functional PBE.

Space group = No. 216
Calculated total energy = -4.893 eV/atom
Total magnetization = 1.2 μB per cell

Structure (POSCAR):
```
LiPrTc
1.0
0.0000 3.1654 3.1654
3.1654 0.0000 3.1654
3.1654 3.1654 0.0000
Li Pr Tc
1 1 1
Cartesian
0.0000 0.0000 0.0000
1.5827 1.5827 1.5827
4.7482 4.7482 4.7482
```



(4)
LiPrZnTe3 after structural relaxation. Source: OQMD via LeMat-Bulk, functional PBE.

Space group = No. 62
Calculated total energy = -3.843 eV/atom
Total magnetization = 0.0 μB per cell

Structure (POSCAR):
```
LiPrZnTe3
1.0
-8.6985 3.3950 -8.8251
1.6744 -2.9587 -2.7886
-8.0538 -8.8361 4.5391
Li Pr Te Zn
4 4 12 4
Cartesian
0.1258 -1.8560 -3.1551
-8.1455 -4.4615 -5.3572
-6.9325 -3.9383 -1.7174
-15.2038 -6.5438 -3.9195
-5.0574 -0.7821 -3.9402
-10.5028 -0.2871 -7.7350
-4.5752 -8.1126 0.6604
-10.0205 -7.6177 -3.1344
-4.4869 -0.7991 -7.0461
-7.9327 -0.2335 -9.7153
-2.7314 -1.5178 -1.7630
-8.4082 -1.2767 -5.4273
-5.4580 -3.9877 -4.2462
-3.0600 -5.7028 -0.9866
-12.0180 -2.6970 -6.0880
-9.6199 -4.4121 -2.8283
-6.6698 -7.1230 -1.6472
-12.3465 -6.8819 -5.3116
-7.1453 -8.1663 2.6407
-10.5910 -7.6006 -0.0285
-6.8972 -1.5825 -7.6622
-3.1520 -3.9428 -2.9092
-11.9259 -4.4570 -4.1654
-8.1808 -6.8173 0.5876
```



(5)
LiPrZnTe3 after structural relaxation. Source: OQMD via LeMat-Bulk, functional PBE.

Space group = No. 63
Calculated total energy = -3.850 eV/atom
Total magnetization = 0.0 μB per cell

Structure (POSCAR):
```
LiPrZnTe3
1.0
4.3014 0.0000 0.0000
2.1507 7.2318 0.0000
0.0000 0.0000 11.8622
Li Pr Te Zn
2 2 6 2
Cartesian
2.1507 4.3882 2.9655
4.3014 2.8436 8.8966
0.0000 0.0000 0.0000
0.0000 0.0000 5.9311
4.3014 5.1036 0.9593
4.3014 1.3284 2.9655
4.3014 5.1036 4.9718
2.1507 2.1282 6.8904
2.1507 5.9035 8.8966
2.1507 2.1282 10.9029
4.3014 6.9023 2.9655
2.1507 0.3295 8.8966
```



(6)
LiPrZnTe3 after structural relaxation. Source: OQMD via LeMat-Bulk, functional PBE.

Space group = No. 62
Calculated total energy = -3.794 eV/atom
Total magnetization = 0.0 μB per cell

Structure (POSCAR):
```
LiPrZnTe3
1.0
8.8537 0.0000 0.0000
0.0000 4.4153 0.0000
0.0000 0.0000 18.6496
Li Pr Te Zn
4 4 12 4
Cartesian
4.9631 3.3115 4.5292
0.5363 3.3115 4.7956
8.3175 1.1038 13.8540
3.8906 1.1038 14.1204
6.7759 1.1038 0.9651
2.3490 1.1038 8.3597
6.5047 3.3115 10.2899
2.0779 3.3115 17.6845
1.1049 1.1038 1.1052
4.4077 3.3115 1.5924
7.0595 1.1038 4.1176
2.6327 1.1038 5.2072
8.8346 3.3115 7.7324
5.5318 1.1038 8.2196
3.3220 3.3115 10.4300
0.0191 1.1038 10.9172
6.2211 3.3115 13.4423
1.7942 3.3115 14.5320
4.4460 1.1038 17.0572
7.7488 3.3115 17.5444
3.2083 1.1038 2.7005
7.6352 1.1038 6.6243
1.2185 3.3115 12.0253
5.6454 3.3115 15.9491
```



no.,calculated volume (A^3/atom)
1,26.274
2,31.558
3,21.145
4,30.102
5,30.749
6,30.377